Density functional theory data (PBE-GGA) for an optimized crystal structure of LiTlSbTe2.

E_form (uncorrected): 0.07 eV per atom
E: -14.316 eV for the cell shown
crystal system: tetragonal
offset from the most stable computed form: 2.018 eV per formula unit
size of the total moment: 0.00 μB/f.u.

Lattice parameters (Å, degrees): 5.446 5.446 4.955 90.00 90.00 90.00
Fractional coordinates of all 5 atoms:
Li 0.000 0.000 0.000
Tl 0.500 0.500 0.500
Sb 0.000 0.000 0.500
Te 0.000 0.500 0.000
Te 0.500 0.000 0.000